Entry from Alexandria: a relaxed structure of Ce4Al2O (PBE-GGA).

Cell: 4.7558 4.7558 8.5389 Å, 106.17 106.17 90.00°
Each line ends with the local moment (μB).
Fractional positions:
O  0.0000  0.0000  0.0000  -0.01
Al  0.6332  0.6332  0.2664  0.00
Al  0.3668  0.3668  0.7336  0.00
Ce  0.8319  0.8319  0.6638  0.80
Ce  0.1681  0.1681  0.3362  0.80
Ce  0.0000  0.5000  0.0000  0.30
Ce  0.5000  0.0000  0.0000  0.30


Entry from Alexandria: a relaxed structure of ZnTcNiGe2 (PBE-GGA).

Results
- energy relative to the elements (eV per atom) = 0.7634

Cell: 4.7068 4.8481 4.7068 Å, 90.00 90.00 90.00°
Each line ends with the local moment (μB).
Fractional positions:
Zn  0.0000  0.5000  0.0000  0.01
Ge  0.0000  0.0000  0.5000  0.02
Ge  0.5000  0.0000  0.0000  0.00
Tc  0.0000  0.0000  0.0000  0.14
Ni  0.5000  0.5000  0.5000  0.64


Entry from Alexandria: a relaxed structure of Ce2ErTh9 (PBE-GGA).

Results
- energy relative to the elements (eV per atom) = 0.0279

Cell: 4.9906 4.9906 15.0434 Å, 90.00 90.00 90.00°
Fractional positions:
Ce  0.0000  0.0000  0.3340
Ce  0.0000  0.0000  0.6660
Er  0.0000  0.0000  0.0000
Th  0.5000  0.5000  0.0000
Th  0.5000  0.5000  0.3363
Th  0.5000  0.5000  0.6637
Th  0.5000  0.0000  0.1696
Th  0.5000  0.0000  0.5000
Th  0.5000  0.0000  0.8304
Th  0.0000  0.5000  0.1696
Th  0.0000  0.5000  0.5000
Th  0.0000  0.5000  0.8304


Entry from Alexandria: a relaxed structure of NaLi2HAu (PBE-GGA).

Cell: 4.1379 4.1379 4.4223 Å, 90.00 90.00 90.00°
Fractional positions:
Na  0.0000  0.0000  0.5000
Au  0.5000  0.5000  0.5000
H  0.0000  0.0000  0.0000
Li  0.0000  0.5000  0.0000
Li  0.5000  0.0000  0.0000


Entry from Alexandria: a relaxed structure of SrLiSc4 (PBE-GGA).

Results
- energy relative to the elements (eV per atom) = 0.3827

Cell: 6.3330 6.3330 6.3330 Å, 60.00 60.00 60.00°
Each line ends with the local moment (μB).
Fractional positions:
Sr  0.7500  0.7500  0.7500  0.04
Li  0.0000  0.0000  0.0000  0.01
Sc  0.8772  0.3743  0.3743  0.16
Sc  0.3743  0.3743  0.8772  0.16
Sc  0.3743  0.8772  0.3743  0.16
Sc  0.3743  0.3743  0.3743  0.16


Entry from Alexandria: a relaxed structure of NdGdMgAl (PBE-GGA).

Results
- energy relative to the elements (eV per atom) = -0.2636

Cell: 5.3009 5.3009 5.3009 Å, 60.00 60.00 60.00°
Each line ends with the local moment (μB).
Fractional positions:
Mg  0.0000  0.0000  0.0000  0.00
Gd  0.7500  0.7500  0.7500  7.13
Nd  0.2500  0.2500  0.2500  0.03
Al  0.5000  0.5000  0.5000  -0.01


Entry from Alexandria: a relaxed structure of CaGa (PBE-GGA).

Results
- energy relative to the elements (eV per atom) = -0.4641

Cell: 4.1257 4.5671 6.1239 Å, 111.99 90.00 90.00°
Fractional positions:
Ca  0.2500  0.6429  0.2854
Ca  0.7500  0.3571  0.7146
Ga  0.2500  0.9309  0.8597
Ga  0.7500  0.0691  0.1403


Entry from Alexandria: a relaxed structure of Pr3SmY6Ho2 (PBE-GGA).

Results
- energy relative to the elements (eV per atom) = 0.0170

Cell: 6.2503 6.2503 11.8922 Å, 95.01 95.01 119.98°
Fractional positions:
Pr  0.1669  0.8331  0.5000
Pr  0.8331  0.1669  0.5000
Pr  0.5000  0.5000  0.5000
Sm  0.0000  0.0000  0.0000
Y  0.9178  0.5841  0.7537
Y  0.7484  0.7484  0.2465
Y  0.0822  0.4159  0.2463
Y  0.5841  0.9178  0.7537
Y  0.2516  0.2516  0.7535
Y  0.4159  0.0822  0.2463
Ho  0.3333  0.6667  0.0000
Ho  0.6667  0.3333  0.0000


Entry from Alexandria: a relaxed structure of TiTe2AsI (PBE-GGA).

Results
- ΔE to the lowest computed polymorph (meV/atom) = 0.0

Cell: 5.3661 5.5413 5.3661 Å, 90.00 90.00 90.00°
Each line ends with the local moment (μB).
Fractional positions:
I  0.0000  0.5000  0.0000  0.03
As  0.5000  0.5000  0.5000  0.90
Te  0.0000  0.0000  0.5000  -0.14
Te  0.5000  0.0000  0.0000  -0.15
Ti  0.0000  0.0000  0.0000  0.64


Entry from Alexandria: a relaxed structure of BeMo2Br (PBE-GGA).

Results
- ΔE to the lowest computed polymorph (meV/atom) = 570.3

Cell: 4.3254 4.3254 4.3254 Å, 60.00 60.00 60.00°
Fractional positions:
Be  0.0000  0.0000  0.0000
Mo  0.2500  0.2500  0.2500
Mo  0.7500  0.7500  0.7500
Br  0.5000  0.5000  0.5000


Entry from Alexandria: a relaxed structure of SmHoBi (PBE-GGA).

Results
- energy relative to the elements (eV per atom) = 0.0744

Cell: 3.4550 6.7215 14.3715 Å, 130.04 90.00 104.89°
Fractional positions:
Sm  0.9423  0.8846  0.3352
Sm  0.0577  0.1154  0.6648
Ho  0.7097  0.4194  0.3728
Ho  0.2903  0.5806  0.6272
Bi  0.8496  0.6992  0.8505
Bi  0.1504  0.3008  0.1495


Entry from Alexandria: a relaxed structure of Sc2Be5Cu5 (PBE-GGA).

Results
- energy relative to the elements (eV per atom) = -0.2038

Cell: 3.8313 4.5941 8.3223 Å, 90.00 90.00 90.00°
Fractional positions:
Sc  0.0000  0.5000  0.0000
Sc  0.0000  0.0000  0.5000
Be  0.5000  0.5000  0.5000
Be  0.5000  0.7489  0.2552
Be  0.5000  0.2511  0.7448
Be  0.5000  0.2511  0.2552
Be  0.5000  0.7489  0.7448
Cu  0.0000  0.5000  0.3340
Cu  0.0000  0.0000  0.8181
Cu  0.0000  0.0000  0.1819
Cu  0.0000  0.5000  0.6660
Cu  0.5000  0.0000  0.0000


E: -42.0 -22.8 -82.9 -13.1 -26.6 -25.2 -6.0 -66.8 -19.1 -23.5 -13.0 -54.2 (eV/f.u.)